## CsMg2BiBr8 (GGA-PBE)

Data for a relaxed CsMg2BiBr8 crystal.

Calculated values
- raw formation energy (meV/atom) = -1228

Cell and atoms, written as POSCAR:
```
CsMg2BiBr8
1.0
7.059 0.000 0.000
2.073 6.813 0.000
2.660 2.128 9.329
Cs Mg Bi Br
1 2 1 8
Direct
0.000 0.000 0.000
0.452 0.449 0.215
0.548 0.551 0.785
0.000 0.000 0.500
0.186 0.704 0.727
0.267 0.257 0.461
0.287 0.803 0.282
0.356 0.322 0.032
0.644 0.678 0.968
0.713 0.197 0.718
0.733 0.743 0.539
0.814 0.296 0.273
```

---

## CsMgBiBr6 (GGA-PBE)

Data for a relaxed CsMgBiBr6 crystal.

Calculated values
- raw formation energy (meV/atom) = -1248

Cell and atoms, written as POSCAR:
```
CsMgBiBr6
1.0
7.310 0.000 0.000
-3.655 6.331 0.000
0.000 0.000 8.139
Cs Mg Bi Br
1 1 1 6
Direct
0.000 0.000 0.000
0.333 0.667 0.500
0.667 0.333 0.500
0.019 0.385 0.698
0.019 0.634 0.302
0.366 0.385 0.302
0.366 0.981 0.698
0.615 0.634 0.698
0.615 0.981 0.302
```

---

## Cs2MnBiBr6 (GGA-PBE)

Data for a relaxed Cs2MnBiBr6 crystal.

Calculated values
- raw formation energy (meV/atom) = -1084

Cell and atoms, written as POSCAR:
```
Cs2MnBiBr6
1.0
-4.018 4.018 6.002
4.018 -4.018 6.002
4.018 4.018 -6.002
Cs Mn Bi Br
2 1 1 6
Direct
0.250 0.750 0.500
0.750 0.250 0.500
0.000 0.000 0.000
0.500 0.500 0.000
0.211 0.211 0.000
0.246 0.246 0.492
0.246 0.754 0.000
0.754 0.246 0.000
0.754 0.754 0.508
0.789 0.789 0.000
```

---

## Cs2BiMoBr6 (GGA-PBE)

Data for a relaxed Cs2BiMoBr6 crystal.

Calculated values
- raw formation energy (meV/atom) = -879

Cell and atoms, written as POSCAR:
```
Cs2BiMoBr6
1.0
-4.069 4.069 5.738
4.069 -4.069 5.738
4.069 4.069 -5.738
Cs Bi Mo Br
2 1 1 6
Direct
0.250 0.750 0.500
0.750 0.250 0.500
0.000 0.000 0.000
0.500 0.500 0.000
0.265 0.265 0.000
0.266 0.266 0.531
0.266 0.734 0.000
0.734 0.266 0.000
0.734 0.734 0.469
0.735 0.735 0.000
```

---

## Cs2BiBr6N (GGA-PBE)

Data for a relaxed Cs2BiBr6N crystal.

Calculated values
- raw formation energy (meV/atom) = -552

Cell and atoms, written as POSCAR:
```
Cs2BiBr6N
1.0
-3.805 3.805 6.221
3.805 -3.805 6.221
3.805 3.805 -6.221
Cs Bi Br N
2 1 6 1
Direct
0.250 0.750 0.500
0.750 0.250 0.500
0.000 0.000 0.000
0.230 0.230 0.000
0.266 0.266 0.532
0.266 0.734 0.000
0.734 0.266 0.000
0.734 0.734 0.468
0.770 0.770 0.000
0.500 0.500 0.000
```

---

## Cs2NaBiBr6 (GGA-PBE)

Data for a relaxed Cs2NaBiBr6 crystal.

Calculated values
- energy relative to the lowest polymorph listed for this composition (eV per formula unit) = 0.000
- raw formation energy (meV/atom) = -1370

Cell and atoms, written as POSCAR:
```
Cs2NaBiBr6
1.0
8.174 0.000 0.000
0.000 8.234 0.000
-8.171 0.000 11.655
Cs Na Bi Br
4 2 2 12
Direct
0.241 0.040 0.250
0.241 0.460 0.750
0.759 0.540 0.250
0.759 0.960 0.750
0.000 0.000 0.500
0.000 0.500 0.000
0.500 0.000 0.000
0.500 0.500 0.500
0.190 0.209 0.971
0.190 0.291 0.471
0.267 0.719 0.974
0.267 0.781 0.474
0.309 0.002 0.756
0.309 0.498 0.256
0.691 0.502 0.744
0.691 0.998 0.244
0.733 0.219 0.526
0.733 0.281 0.026
0.810 0.709 0.529
0.810 0.791 0.029
```

---

## Cs2NaBiBr6 (GGA-PBE)

Data for a relaxed Cs2NaBiBr6 crystal.

Calculated values
- energy relative to the lowest polymorph listed for this composition (eV per formula unit) = 0.055
- raw formation energy (meV/atom) = -1364

Cell and atoms, written as POSCAR:
```
Cs2NaBiBr6
1.0
0.000 5.818 5.818
5.818 0.000 5.818
5.818 5.818 0.000
Cs Na Bi Br
2 1 1 6
Direct
0.250 0.250 0.250
0.750 0.750 0.750
0.000 0.000 0.000
0.500 0.500 0.500
0.254 0.254 0.746
0.254 0.746 0.254
0.254 0.746 0.746
0.746 0.254 0.254
0.746 0.254 0.746
0.746 0.746 0.254
```

---

## CsNiBiBr6 (GGA-PBE)

Data for a relaxed CsNiBiBr6 crystal.

Calculated values
- raw formation energy (meV/atom) = -835

Cell and atoms, written as POSCAR:
```
CsNiBiBr6
1.0
7.155 0.000 0.000
-3.578 6.197 0.000
0.000 0.000 8.149
Cs Ni Bi Br
1 1 1 6
Direct
0.000 0.000 0.000
0.667 0.333 0.500
0.333 0.667 0.500
0.388 0.033 0.689
0.388 0.355 0.311
0.645 0.033 0.311
0.645 0.612 0.689
0.967 0.355 0.689
0.967 0.612 0.311
```

---

## Cs2BiBr3O (GGA-PBE)

Data for a relaxed Cs2BiBr3O crystal.

Calculated values
- raw formation energy (meV/atom) = -1322

Cell and atoms, written as POSCAR:
```
Cs2BiBr3O
1.0
4.496 0.000 0.000
0.000 6.018 0.000
0.000 0.000 19.173
Cs Bi Br O
4 2 6 2
Direct
0.000 0.000 0.147
0.000 0.000 0.853
0.500 0.500 0.353
0.500 0.500 0.647
0.000 0.000 0.500
0.500 0.500 0.000
0.000 0.000 0.340
0.000 0.000 0.660
0.000 0.500 0.500
0.500 0.000 0.000
0.500 0.500 0.160
0.500 0.500 0.840
0.000 0.500 0.000
0.500 0.000 0.500
```

---

## Cs6BiBrO (GGA-PBE)

Data for a relaxed Cs6BiBrO crystal.

Calculated values
- raw formation energy (meV/atom) = -820

Cell and atoms, written as POSCAR:
```
Cs6BiBrO
1.0
8.711 0.000 0.000
-4.355 7.544 0.000
0.000 0.000 16.110
Cs Bi Br O
12 2 2 2
Direct
0.052 0.394 0.141
0.052 0.658 0.359
0.342 0.394 0.359
0.342 0.948 0.141
0.394 0.052 0.641
0.394 0.342 0.859
0.606 0.658 0.141
0.606 0.948 0.359
0.658 0.052 0.859
0.658 0.606 0.641
0.948 0.342 0.641
0.948 0.606 0.859
0.000 0.000 0.000
0.000 0.000 0.500
0.333 0.667 0.750
0.667 0.333 0.250
0.333 0.667 0.250
0.667 0.333 0.750
```

---

## Cs2BiOsBr6 (GGA-PBE)

Data for a relaxed Cs2BiOsBr6 crystal.

Calculated values
- raw formation energy (meV/atom) = -684

Cell and atoms, written as POSCAR:
```
Cs2BiOsBr6
1.0
-3.929 3.929 5.606
3.929 -3.929 5.606
3.929 3.929 -5.606
Cs Bi Os Br
2 1 1 6
Direct
0.250 0.750 0.500
0.750 0.250 0.500
0.000 0.000 0.000
0.500 0.500 0.000
0.269 0.269 0.537
0.269 0.731 0.000
0.270 0.270 0.000
0.730 0.730 0.000
0.731 0.269 0.000
0.731 0.731 0.463
```

---

## CsBiPb2Br8 (GGA-PBE)

Data for a relaxed CsBiPb2Br8 crystal.

Calculated values
- raw formation energy (meV/atom) = -973

Cell and atoms, written as POSCAR:
```
CsBiPb2Br8
1.0
7.036 0.000 0.000
0.138 7.336 0.000
0.057 0.046 9.513
Cs Bi Pb Br
1 1 2 8
Direct
0.000 0.000 0.000
0.000 0.000 0.500
0.499 0.500 0.251
0.501 0.500 0.749
0.239 0.324 0.500
0.252 0.841 0.708
0.253 0.843 0.292
0.268 0.396 0.002
0.732 0.604 0.998
0.747 0.157 0.708
0.748 0.159 0.292
0.761 0.676 0.500
```

---

## Cs2BiPdBr6 (GGA-PBE)

Data for a relaxed Cs2BiPdBr6 crystal.

Calculated values
- raw formation energy (meV/atom) = -1041

Cell and atoms, written as POSCAR:
```
Cs2BiPdBr6
1.0
-3.978 3.978 5.587
3.978 -3.978 5.587
3.978 3.978 -5.587
Cs Bi Pd Br
2 1 1 6
Direct
0.250 0.750 0.500
0.750 0.250 0.500
0.000 0.000 0.000
0.500 0.500 0.000
0.258 0.258 0.516
0.258 0.742 0.000
0.259 0.259 0.000
0.741 0.741 0.000
0.742 0.258 0.000
0.742 0.742 0.484
```

---

## CsRb2BiBr6 (GGA-PBE)

Data for a relaxed CsRb2BiBr6 crystal.

Calculated values
- raw formation energy (meV/atom) = -1388

Cell and atoms, written as POSCAR:
```
CsRb2BiBr6
1.0
8.301 0.000 0.000
0.000 8.893 0.000
-8.222 0.000 11.938
Cs Rb Bi Br
2 4 2 12
Direct
0.000 0.000 0.000
0.000 0.500 0.500
0.215 0.079 0.746
0.215 0.421 0.246
0.785 0.579 0.754
0.785 0.921 0.254
0.500 0.000 0.500
0.500 0.500 0.000
0.158 0.171 0.437
0.158 0.329 0.937
0.261 0.730 0.416
0.261 0.770 0.916
0.422 0.064 0.282
0.422 0.436 0.782
0.578 0.564 0.218
0.578 0.936 0.718
0.739 0.230 0.084
0.739 0.270 0.584
0.842 0.671 0.063
0.842 0.829 0.563
```

---

## Cs2BiRhBr6 (GGA-PBE)

Data for a relaxed Cs2BiRhBr6 crystal.

Calculated values
- raw formation energy (meV/atom) = -958

Cell and atoms, written as POSCAR:
```
Cs2BiRhBr6
1.0
-3.936 3.936 5.562
3.936 -3.936 5.562
3.936 3.936 -5.562
Cs Bi Rh Br
2 1 1 6
Direct
0.250 0.750 0.500
0.750 0.250 0.500
0.000 0.000 0.000
0.500 0.500 0.000
0.263 0.263 0.527
0.263 0.737 0.000
0.264 0.264 0.000
0.736 0.736 0.000
0.737 0.263 0.000
0.737 0.737 0.473
```

---

## Cs2BiSeBr3 (GGA-PBE)

Data for a relaxed Cs2BiSeBr3 crystal.

Calculated values
- raw formation energy (meV/atom) = -1182

Cell and atoms, written as POSCAR:
```
Cs2BiSeBr3
1.0
5.637 0.000 0.000
0.000 5.893 0.000
0.000 0.000 18.289
Cs Bi Se Br
4 2 2 6
Direct
0.000 0.000 0.138
0.000 0.000 0.862
0.500 0.500 0.362
0.500 0.500 0.638
0.000 0.000 0.500
0.500 0.500 0.000
0.000 0.500 0.000
0.500 0.000 0.500
0.000 0.000 0.339
0.000 0.000 0.661
0.000 0.500 0.500
0.500 0.000 0.000
0.500 0.500 0.161
0.500 0.500 0.839
```

---

## Cs2SiBiBr6 (GGA-PBE)

Data for a relaxed Cs2SiBiBr6 crystal.

Calculated values
- raw formation energy (meV/atom) = -985

Cell and atoms, written as POSCAR:
```
Cs2SiBiBr6
1.0
-4.029 4.029 5.720
4.029 -4.029 5.720
4.029 4.029 -5.720
Cs Si Bi Br
2 1 1 6
Direct
0.250 0.750 0.500
0.750 0.250 0.500
0.000 0.000 0.000
0.500 0.500 0.000
0.239 0.239 0.000
0.239 0.239 0.479
0.239 0.761 0.000
0.761 0.239 0.000
0.761 0.761 0.000
0.761 0.761 0.521
```

---

## Cs2SnBiBr6 (GGA-PBE)

Data for a relaxed Cs2SnBiBr6 crystal.

Calculated values
- raw formation energy (meV/atom) = -1110

Cell and atoms, written as POSCAR:
```
Cs2SnBiBr6
1.0
-4.176 4.176 5.930
4.176 -4.176 5.930
4.176 4.176 -5.930
Cs Sn Bi Br
2 1 1 6
Direct
0.250 0.750 0.500
0.750 0.250 0.500
0.000 0.000 0.000
0.500 0.500 0.000
0.250 0.250 0.000
0.250 0.250 0.500
0.250 0.750 0.000
0.750 0.250 0.000
0.750 0.750 0.000
0.750 0.750 0.500
```

---

## CsSnBiBr6 (GGA-PBE)

Data for a relaxed CsSnBiBr6 crystal.

Calculated values
- raw formation energy (meV/atom) = -1014

Cell and atoms, written as POSCAR:
```
CsSnBiBr6
1.0
7.675 0.000 0.000
-3.838 6.647 0.000
0.000 0.000 8.071
Cs Sn Bi Br
1 1 1 6
Direct
0.000 0.000 0.000
0.333 0.667 0.500
0.667 0.333 0.500
0.382 0.012 0.712
0.382 0.370 0.288
0.630 0.012 0.288
0.630 0.618 0.712
0.988 0.370 0.712
0.988 0.618 0.288
```

---

## CsSrBiBr6 (GGA-PBE)

Data for a relaxed CsSrBiBr6 crystal.

Calculated values
- raw formation energy (meV/atom) = -1468

Cell and atoms, written as POSCAR:
```
CsSrBiBr6
1.0
7.796 0.000 0.000
-3.898 6.752 0.000
0.000 0.000 7.985
Cs Sr Bi Br
1 1 1 6
Direct
0.000 0.000 0.000
0.333 0.667 0.500
0.667 0.333 0.500
0.382 0.017 0.712
0.382 0.365 0.288
0.635 0.017 0.288
0.635 0.618 0.712
0.983 0.365 0.712
0.983 0.618 0.288
```

---

| no. | raw total energy (eV per atom) |
| --- | --- |
| 1 | -3.00 |
| 2 | -3.07 |
| 3 | -3.56 |
| 4 | -3.52 |
| 5 | -2.95 |
| 6 | -3.06 |
| 7 | -3.06 |
| 8 | -3.12 |
| 9 | -3.55 |
| 10 | -2.56 |
| 11 | -3.37 |
| 12 | -3.10 |
| 13 | -3.12 |
| 14 | -3.06 |
| 15 | -3.26 |
| 16 | -3.19 |
| 17 | -3.09 |
| 18 | -3.07 |
| 19 | -3.10 |
| 20 | -3.30 |